Model one:
Entry from the Alexandria database: crystalline Sr2GeI at its relaxed geometry (GGA-PBE).

a = 8.474 Å, b = 8.474 Å, c = 9.216 Å
α = 90.00°, β = 90.00°, γ = 90.00°
Space group I-42d (No. 122)
Asymmetric unit:
Sr 0.222 0.250 0.125
Ge 0.000 0.000 0.000
I 0.000 0.000 0.500

---

Model two:
Entry from the Alexandria database: crystalline Sr2GeI at its relaxed geometry (GGA-PBE).

a = 4.5317 Å, b = 4.5317 Å, c = 25.2143 Å
α = 90.00°, β = 90.00°, γ = 120.00°
Space group R-3m (No. 166, hexagonal axes)
Asymmetric unit:
Sr 0.0000 0.0000 0.2374
Ge 0.0000 0.0000 0.5000
I 0.0000 0.0000 0.0000

---

The calculated energies rank the structures as follows, beginning with the most stable: model two, model one.